Density functional theory data (PBE) for a relaxed CaMgCu crystal.

Cell lengths 7.5641, 3.5050, 11.8148 Å; angles 90.00, 90.00, 90.00 degrees
Element x y z (fractional)
Ca 0.1532 0.7500 0.5986
Ca 0.8468 0.2500 0.4014
Ca 0.8468 0.2500 0.0986
Ca 0.1532 0.7500 0.9014
Mg 0.6030 0.7500 0.8891
Mg 0.3970 0.2500 0.1109
Mg 0.3970 0.2500 0.3891
Mg 0.6030 0.7500 0.6109
Cu 0.1398 0.7500 0.3492
Cu 0.8602 0.2500 0.6508
Cu 0.8602 0.2500 0.8492
Cu 0.1398 0.7500 0.1508

## Properties
**Space group**: Pmmn, No. 59



Density functional theory data (PBE) for a relaxed CaMg2Cu2 crystal.

Cell lengths 6.7604, 6.7604, 6.7604 Å; angles 128.27, 106.08, 95.95 degrees
Element x y z (fractional)
Ca 0.5000 0.7500 0.2500
Ca 0.5000 0.2500 0.7500
Mg 0.9904 0.3713 0.6191
Mg 0.0096 0.6287 0.3809
Mg 0.2478 0.1287 0.1191
Mg 0.7522 0.8713 0.8809
Cu 0.9441 0.1470 0.7972
Cu 0.0559 0.8530 0.2028
Cu 0.6502 0.3530 0.2972
Cu 0.3498 0.6470 0.7028

## Properties
**Space group**: Ibam, No. 72



Density functional theory data (PBE) for a relaxed CaMg2Cu crystal.

Cell lengths 5.2183, 5.2183, 7.9406 Å; angles 90.00, 90.00, 120.00 degrees
Element x y z (fractional)
Ca 0.0000 0.0000 0.0000
Ca 0.0000 0.0000 0.5000
Mg 0.3333 0.6667 0.5786
Mg 0.6667 0.3333 0.0786
Mg 0.6667 0.3333 0.4214
Mg 0.3333 0.6667 0.9214
Cu 0.3333 0.6667 0.2500
Cu 0.6667 0.3333 0.7500

## Properties
**Space group**: P6_3/mmc, No. 194



Density functional theory data (PBE) for a relaxed Ca2Mg3Cu crystal.

Cell lengths 7.8118, 7.8118, 6.8963 Å; angles 90.00, 90.00, 54.20 degrees
Element x y z (fractional)
Ca 0.1704 0.1704 0.0000
Ca 0.8296 0.8296 0.5000
Ca 0.8296 0.8296 0.0000
Ca 0.1704 0.1704 0.5000
Mg 0.3010 0.4679 0.7500
Mg 0.6990 0.5321 0.2500
Mg 0.5321 0.6990 0.7500
Mg 0.4679 0.3010 0.2500
Mg 0.7617 0.2383 0.7500
Mg 0.2383 0.7617 0.2500
Cu 0.1223 0.8777 0.7500
Cu 0.8777 0.1223 0.2500

## Properties
**Space group**: Cmcm, No. 63



Density functional theory data (PBE) for a relaxed Ca2MgCu crystal.

Cell lengths 3.6263, 3.6559, 8.8421 Å; angles 65.63, 90.00, 90.00 degrees
Element x y z (fractional)
Ca 0.0000 0.9642 0.0359
Ca 0.0000 0.5358 0.4641
Mg 0.5000 0.7500 0.7500
Cu 0.5000 0.2500 0.2500

## Properties
**Space group**: Pmmm, No. 47



Density functional theory data (PBE) for a relaxed CaMg2Cu crystal.

Cell lengths 4.5679, 4.5679, 10.8902 Å; angles 90.00, 90.00, 120.00 degrees
Element x y z (fractional)
Ca 0.6667 0.3333 0.2500
Ca 0.3333 0.6667 0.7500
Mg 0.6667 0.3333 0.9330
Mg 0.3333 0.6667 0.4330
Mg 0.3333 0.6667 0.0670
Mg 0.6667 0.3333 0.5670
Cu 0.0000 0.0000 0.0000
Cu 0.0000 0.0000 0.5000

## Properties
**Space group**: P6_3/mmc, No. 194



Density functional theory data (PBE) for a relaxed Ca4MgCu2 crystal.

Cell lengths 6.3951, 6.3951, 6.3951 Å; angles 103.85, 103.85, 121.41 degrees
Element x y z (fractional)
Ca 0.6870 0.2578 0.9448
Ca 0.3130 0.7422 0.0552
Ca 0.7422 0.6870 0.4292
Ca 0.2578 0.3130 0.5708
Mg 0.0000 0.0000 0.0000
Cu 0.2500 0.7500 0.5000
Cu 0.7500 0.2500 0.5000

## Properties
**Space group**: I4/m, No. 87



Density functional theory data (PBE) for a relaxed Ca4MgCu2 crystal.

Cell lengths 8.2243, 8.2243, 8.2243 Å; angles 138.13, 138.13, 60.71 degrees
Element x y z (fractional)
Ca 0.5000 0.0000 0.5000
Ca 0.0000 0.5000 0.5000
Ca 0.2217 0.2217 0.0000
Ca 0.7783 0.7783 0.0000
Mg 0.0000 0.0000 0.0000
Cu 0.4177 0.4177 0.0000
Cu 0.5823 0.5823 0.0000

## Properties
**Space group**: I4/mmm, No. 139



Density functional theory data (PBE) for a relaxed CaMg2Cu2 crystal.

Cell lengths 4.0050, 5.3023, 5.6316 Å; angles 103.96, 110.83, 90.00 degrees
Element x y z (fractional)
Ca 0.5000 0.5000 0.0000
Cu 0.7748 0.3883 0.5495
Cu 0.2252 0.6117 0.4505
Mg 0.8467 0.9245 0.6933
Mg 0.1533 0.0755 0.3067

## Properties
**Space group**: C2/m, No. 12



Density functional theory data (PBE) for a relaxed Ca8MgCu2 crystal.

Cell lengths 5.8541, 8.3374, 8.3374 Å; angles 111.62, 98.04, 98.04 degrees
Element x y z (fractional)
Ca 0.5846 0.3303 0.0689
Ca 0.5846 0.0689 0.3303
Ca 0.1980 0.3857 0.3857
Ca 0.9999 0.2498 0.7564
Ca 0.9999 0.7564 0.2498
Ca 0.8021 0.6207 0.6207
Ca 0.4153 0.9372 0.6759
Ca 0.4153 0.6759 0.9372
Mg 0.0007 0.0032 0.0032
Cu 0.4996 0.6877 0.3181
Cu 0.4996 0.3181 0.6877

## Properties
**Space group**: Cm, No. 8



Density functional theory data (PBE) for a relaxed CaMgCu4 crystal.

Cell lengths 3.8210, 7.7607, 7.6129 Å; angles 90.00, 90.00, 90.00 degrees
Element x y z (fractional)
Ca 0.0000 0.6584 0.2500
Ca 0.0000 0.3416 0.7500
Mg 0.0000 0.2395 0.2500
Mg 0.0000 0.7605 0.7500
Cu 0.0000 0.0000 0.0000
Cu 0.0000 0.0000 0.5000
Cu 0.5000 0.9701 0.2500
Cu 0.5000 0.0299 0.7500
Cu 0.5000 0.2083 0.0205
Cu 0.5000 0.2083 0.4795
Cu 0.5000 0.7917 0.9795
Cu 0.5000 0.7917 0.5205

## Properties
**Space group**: Pmma, No. 51



Density functional theory data (PBE) for a relaxed Ca2MgCu crystal.

Cell lengths 5.1917, 5.1917, 5.1917 Å; angles 60.00, 60.00, 60.00 degrees
Element x y z (fractional)
Ca 0.0000 0.0000 0.0000
Ca 0.2500 0.2500 0.2500
Cu 0.5000 0.5000 0.5000
Mg 0.7500 0.7500 0.7500

## Properties
**Space group**: F-43m, No. 216



| no. | DOS at the Fermi energy (states/eV/cell) | formation energy from the elements (eV/f.u.) | final energy (hartree per atom) |
| --- | --- | --- | --- |
| 1 | 6.2 | 0.43 | -0.089 |
| 2 | 5.0 | 0.75 | -0.093 |
| 3 | 4.4 | 0.66 | -0.079 |
| 4 | 9.0 | 0.51 | -0.076 |
| 5 | 3.5 | -0.24 | -0.091 |
| 6 | 3.8 | 0.04 | -0.085 |
| 7 | 4.6 | 1.10 | -0.088 |
| 8 | 4.4 | 2.10 | -0.082 |
| 9 | 2.2 | -0.56 | -0.102 |
| 10 | 8.7 | -0.28 | -0.087 |
| 11 | 4.6 | 0.30 | -0.121 |
| 12 | 4.2 | 0.50 | -0.084 |